1.
First-principles (PBE) data for a relaxed structure of PaTaSn, as listed in OQMD.

Geometry as CIF:
```
data_PaTaSn
_space_group_name_H-M_alt 'P 1'
_space_group_IT_number 1
_space_group_name_Hall 'P 1'
_cell_length_a 4.9048
_cell_length_b 4.9048
_cell_length_c 4.9048
_cell_angle_alpha 60.00
_cell_angle_beta 60.00
_cell_angle_gamma 60.00
loop_
_atom_site_label
_atom_site_fract_x
_atom_site_fract_y
_atom_site_fract_z
_atom_site_occupancy
Pa1 0.0000 0.0000 0.0000 1
Ta1 0.2500 0.2500 0.2500 1
Sn1 0.7500 0.7500 0.7500 1
```

Summary:
Calculated total energy (hartree per atom): -0.2688
SG: F-43m (216)
Spin magnetization (μB/f.u.): 1.362

2.
First-principles (PBE) data for a relaxed structure of DyGe3Pd4, as listed in OQMD.

Geometry as CIF:
```
data_DyGe3Pd4
_space_group_name_H-M_alt 'P 1'
_space_group_IT_number 1
_space_group_name_Hall 'P 1'
_cell_length_a 5.4801
_cell_length_b 4.3036
_cell_length_c 6.0327
_cell_angle_alpha 90.00
_cell_angle_beta 95.19
_cell_angle_gamma 90.00
loop_
_atom_site_label
_atom_site_fract_x
_atom_site_fract_y
_atom_site_fract_z
_atom_site_occupancy
Dy1 0.0000 0.0000 0.0000 1
Ge1 0.1630 0.0000 0.4876 1
Ge2 0.4320 0.5000 0.1343 1
Ge3 0.6997 0.5000 0.6701 1
Pd1 0.1874 0.5000 0.7460 1
Pd2 0.5117 0.0000 0.8139 1
Pd3 0.5892 0.0000 0.3237 1
Pd4 0.9386 0.5000 0.3240 1
```

Summary:
Calculated total energy (hartree per atom): -0.2008
SG: Pm (6)
Spin magnetization (μB/f.u.): 0.002

> Which formula does entry 1 have?

PaTaSn